# MgCoBr2

An optimized crystal structure of MgCoBr2 (PBE-GGA, the Alexandria database).

Cell and atoms, written as POSCAR:
```
MgCoBr2
1.0
-2.776 -0.601 3.755
-1.173 -3.709 2.652
3.869 -0.398 6.748
Br Co Mg
2 1 1
Direct
0.981 0.981 0.141
0.887 0.887 0.632
0.441 0.441 0.412
0.191 0.191 0.315
```

Mass density = 3.6 Mg/m³
Formation energy (no corrections) = -0.2341 eV/atom
Electronic total energy = -12.98 eV per cell
Total moment = 1.007 μB per formula unit
Symmetry = Cm